A geometry-optimized VRe3P structure, computed with PBE.

Output
For the formation energy, the calculation gives 0.809 eV/atom. The symmetry is Pm-3m (221). The total energy is -9.57 eV per atom. The density of states at the Fermi level comes out at 0.59 states/eV/atom.

Unit cell a=4.3362 b=4.3362 c=4.3362 alpha=90.00 beta=90.00 gamma=90.00
Fractional positions:
V: 0.0000 0.0000 0.0000
Re: 0.0000 0.5000 0.5000
Re: 0.5000 0.0000 0.5000
Re: 0.5000 0.5000 0.0000
P: 0.5000 0.5000 0.5000